Record 1
{
  "formula": "Zn2PIr",
  "functional": "GGA-PBEsol",
  "state": "relaxed",
  "total_energy_ev_per_atom": -4.557,
  "vol_a3_per_atom": 14.43,
  "formation_energy_ev_per_atom": 0.137,
  "lattice": [[2.7818, 0.0000, 0.0000], [0.0000, 2.7818, 0.0000], [0.0000, 0.0000, 7.4581]],
  "species": ["Zn", "Ir", "P", "Zn"],
  "fractional_positions": [[0.0000, 0.0000, 0.2324], [0.5000, 0.5000, 0.0000], [0.5000, 0.5000, 0.5000], [0.0000, 0.0000, 0.7676]]
}

=====

Record 2
{
  "formula": "MgFe4NiO8",
  "functional": "GGA-PBEsol",
  "state": "relaxed",
  "total_energy_ev_per_atom": -7.452,
  "formation_energy_uncorrected_ev_per_atom": -1.329,
  "vol_a3_per_atom": 9.54,
  "lattice": [[5.8037, 0.0832, 0.0589], [2.9595, 4.9931, 0.0589], [2.9595, 1.7143, 4.6899]],
  "species": ["O", "O", "Fe", "Fe", "O", "Mg", "Fe", "O", "O", "O", "Fe", "O", "O", "Ni"],
  "fractional_positions": [[0.2585, 0.2585, 0.2585], [0.2555, 0.7168, 0.2555], [0.1230, 0.1230, 0.1230], [0.0021, 0.4982, 0.4982], [0.2555, 0.2555, 0.7168], [0.8735, 0.8735, 0.8735], [0.4982, 0.0021, 0.4982], [0.2897, 0.7455, 0.7455], [0.7455, 0.7455, 0.2897], [0.7455, 0.2897, 0.7455], [0.4982, 0.4982, 0.0021], [0.7168, 0.2555, 0.2555], [0.7354, 0.7354, 0.7354], [0.5027, 0.5027, 0.5027]]
}

=====

Record 3
{
  "formula": "Ta2P",
  "functional": "GGA-PBEsol",
  "state": "relaxed",
  "total_energy_ev_per_atom": -10.501,
  "vol_a3_per_atom": 15.42,
  "formation_energy_ev_per_atom": -0.203,
  "lattice": [[-1.7200, -2.7921, 3.0659], [0.3931, -1.3236, -4.2717], [4.8550, -1.8654, 1.0248]],
  "species": ["P", "Ta", "Ta", "Ta", "Ta", "P"],
  "fractional_positions": [[0.3333, 0.6667, 0.7500], [0.3333, 0.6667, 0.2500], [0.0000, 0.0000, 0.5000], [0.0000, 0.0000, 0.0000], [0.6667, 0.3333, 0.7500], [0.6667, 0.3333, 0.2500]]
}

=====

Record 4
{
  "formula": "FeMoP2S",
  "functional": "GGA-PBEsol",
  "state": "relaxed",
  "total_energy_ev_per_atom": -6.489,
  "formation_energy_uncorrected_ev_per_atom": 0.851,
  "vol_a3_per_atom": 19.64,
  "lattice": [[4.5093, 0.0000, 0.0000], [0.0000, 4.6662, 0.0000], [0.0000, 0.0000, 4.6662]],
  "species": ["S", "Fe", "P", "P", "Mo"],
  "fractional_positions": [[0.5000, 0.0000, 0.0000], [0.5000, 0.5000, 0.5000], [0.0000, 0.5000, 0.0000], [0.0000, 0.0000, 0.5000], [0.0000, 0.0000, 0.0000]]
}

=====

Repeat the third record exactly.
{
  "formula": "Ta2P",
  "functional": "GGA-PBEsol",
  "state": "relaxed",
  "total_energy_ev_per_atom": -10.501,
  "vol_a3_per_atom": 15.42,
  "formation_energy_ev_per_atom": -0.203,
  "lattice": [[-1.7200, -2.7921, 3.0659], [0.3931, -1.3236, -4.2717], [4.8550, -1.8654, 1.0248]],
  "species": ["P", "Ta", "Ta", "Ta", "Ta", "P"],
  "fractional_positions": [[0.3333, 0.6667, 0.7500], [0.3333, 0.6667, 0.2500], [0.0000, 0.0000, 0.5000], [0.0000, 0.0000, 0.0000], [0.6667, 0.3333, 0.7500], [0.6667, 0.3333, 0.2500]]
}